1.
Entry from Alexandria via LeMat-Bulk: a geometry-optimized Ti6CuIr5 structure (PBE).

Structure (POSCAR):
```
Ti6CuIr5
1.0
-4.0728 0.9272 0.1757
0.0212 -1.1908 6.7743
-0.6216 6.4790 1.1409
Ir Cu Ti
5 1 6
direct
0.6682 0.5000 0.6635
0.3368 0.0000 0.3264
0.0000 0.5000 0.0000
0.6632 0.0000 0.6736
0.3318 0.5000 0.3365
0.0000 0.0000 0.0000
0.8337 0.7503 0.3325
0.8337 0.2497 0.3325
0.5000 0.2472 0.0000
0.5000 0.7528 0.0000
0.1663 0.7503 0.6675
0.1663 0.2497 0.6675
```

Properties
* magnetic moment: 0.0 Bohr magnetons per cell
* calculated formation energy: -734 meV per atom



2.
Entry from Alexandria via LeMat-Bulk: a geometry-optimized AcHo2AgHg4 structure (PBE).

Structure (POSCAR):
```
AcHo2AgHg4
1.0
5.0740 0.0000 0.0000
2.5370 4.3942 0.0000
2.5370 1.4647 9.6199
Ac Ho Ag Hg
1 2 1 4
direct
0.0000 0.0000 0.0000
0.7676 0.7676 0.6971
0.2324 0.2324 0.3029
0.5000 0.5000 0.5000
0.3927 0.3927 0.8220
0.8748 0.8748 0.3755
0.1252 0.1252 0.6245
0.6073 0.6073 0.1780
```

Properties
* magnetic moment: 0.0 Bohr magnetons per cell
* calculated formation energy: -361 meV per atom



3.
Entry from Alexandria via LeMat-Bulk: a geometry-optimized AgSeS2 structure (PBE).

Structure (POSCAR):
```
AgSeS2
1.0
2.2012 0.0000 7.3558
-1.1006 1.9063 7.3558
-1.1006 -1.9063 7.3558
S Se Ag
2 1 1
direct
0.8949 0.8949 0.8949
0.1051 0.1051 0.1051
0.0000 0.0000 0.0000
0.5000 0.5000 0.5000
```

Properties
* magnetic moment: 0.0 Bohr magnetons per cell
* formation energy (no corrections): 0.256 eV per atom



4.
Entry from Alexandria via LeMat-Bulk: a geometry-optimized AlAg2Rh structure (PBE).

Structure (POSCAR):
```
AlAg2Rh
1.0
3.0124 0.0000 0.0000
0.0000 3.0126 0.0000
0.0000 0.0000 7.0774
Rh Al Ag
1 1 2
direct
0.5000 0.5000 0.7101
0.0000 0.0000 0.5318
0.0000 0.0000 0.9884
0.5000 0.5000 0.2697
```

Properties
* magnetic moment: 0.0 Bohr magnetons per cell
* calculated formation energy: -302 meV per atom



5.
Entry from Alexandria via LeMat-Bulk: a geometry-optimized SrCd2P structure (PBE).

Structure (POSCAR):
```
SrCd2P
1.0
6.8287 -2.1692 -0.0020
6.8287 2.1692 -0.0020
6.1407 0.0000 3.6916
Sr Cd P
1 2 1
direct
0.2316 0.2316 0.2316
0.0140 0.0140 0.0140
0.7626 0.7626 0.7626
0.4802 0.4802 0.4802
```

Properties
* magnetic moment: 0.0 Bohr magnetons per cell
* calculated formation energy: -362 meV per atom



6.
Entry from Alexandria via LeMat-Bulk: a geometry-optimized BRhBr2F structure (PBE).

Structure (POSCAR):
```
BRhBr2F
1.0
5.0794 0.0000 0.0000
0.0000 4.0672 0.0000
0.0000 0.0000 5.0794
B Rh Br F
1 1 2 1
direct
0.5000 0.5000 0.5000
0.0000 0.0000 0.0000
0.0000 0.0000 0.5000
0.5000 0.0000 0.0000
0.0000 0.5000 0.0000
```

Properties
* magnetic moment: 0.0 Bohr magnetons per cell
* formation energy (no corrections): 0.449 eV per atom